1.
4
Lattice="0.000 3.514 3.514 3.514 0.000 3.514 3.514 3.514 0.000" Properties=species:S:1:pos:R:3 comment="CaSi2Hg | the Alexandria database | PBE | optimized geometry" e_form_raw_ev_per_fu=0.610 energy_ev_per_cell=-12.5 sg=F-43m volume_a3_per_cell=87 crystal_system=cubic pbc="T T T"
Ca 0.000 0.000 0.000
Si 3.514 3.514 3.514
Si 5.271 5.271 5.271
Hg 1.757 1.757 1.757

=====

2.
4
Lattice="4.463 0.000 0.000 0.000 4.463 0.000 0.000 0.000 4.602" Properties=species:S:1:pos:R:3 comment="CaSiHg2 | the Alexandria database | PBE | optimized geometry" e_form_raw_ev_per_fu=-0.445 energy_ev_per_cell=-8.5 sg=P4/mmm volume_a3_per_cell=92 crystal_system=tetragonal pbc="T T T"
Ca 0.000 0.000 0.000
Si 2.231 2.231 0.000
Hg 0.000 2.231 2.301
Hg 2.231 0.000 2.301

=====

3.
4
Lattice="5.284 -2.116 0.000 5.284 2.116 0.000 -2.072 0.000 4.233" Properties=species:S:1:pos:R:3 comment="CaSiHg2 | the Alexandria database | PBE | optimized geometry" e_form_raw_ev_per_fu=-0.289 energy_ev_per_cell=-8.3 sg=Cm volume_a3_per_cell=95 crystal_system=monoclinic pbc="T T T"
Ca 0.000 0.000 0.000
Si 1.091 0.000 3.202
Hg 4.629 0.000 2.301
Hg 7.579 0.000 1.147

=====

4.
5
Lattice="5.826 0.000 0.000 0.000 5.826 0.000 0.000 0.000 5.826" Properties=species:S:1:pos:R:3 comment="CaSiHg3 | the Alexandria database | PBE | optimized geometry" polymorph_energy_ev_per_atom=0.739 e_form_raw_ev_per_fu=3.863 energy_ev_per_cell=-4.5 sg=Pm-3m volume_a3_per_cell=198 crystal_system=cubic pbc="T T T"
Ca 0.000 0.000 0.000
Si 2.913 2.913 2.913
Hg 0.000 0.000 2.913
Hg 0.000 2.913 0.000
Hg 2.913 0.000 0.000

=====

5.
4
Lattice="2.244 1.295 5.139 -2.244 1.295 5.139 0.000 -2.591 5.139" Properties=species:S:1:pos:R:3 comment="CaSi2Hg | the Alexandria database | PBE | optimized geometry" e_form_raw_ev_per_fu=0.488 energy_ev_per_cell=-12.7 sg=R-3m volume_a3_per_cell=90 crystal_system=trigonal pbc="T T T"
Ca 0.000 0.000 0.000
Si 0.000 0.000 3.325
Si 0.000 0.000 12.094
Hg 0.000 0.000 7.709

=====

6.
8
Lattice="-2.254 2.254 10.127 2.254 -2.254 10.127 2.254 2.254 -10.127" Properties=species:S:1:pos:R:3 comment="CaSiHg2 | the Alexandria database | PBE | optimized geometry" e_form_raw_ev_per_fu=-0.074 energy_ev_per_cell=-16.2 sg=I-42d volume_a3_per_cell=206 crystal_system=tetragonal pbc="T T T"
Ca 0.000 0.000 0.000
Ca 0.000 2.254 5.063
Si 2.254 0.000 5.063
Si 0.000 0.000 10.127
Hg 1.127 -0.972 7.595
Hg 1.282 1.127 2.532
Hg 1.127 3.226 -2.532
Hg 0.972 1.127 12.659

=====

7.
4
Lattice="-2.130 2.368 4.582 2.130 -2.368 4.582 2.130 2.368 -4.582" Properties=species:S:1:pos:R:3 comment="CaSiHg2 | the Alexandria database | PBE | optimized geometry" e_form_raw_ev_per_fu=-0.507 energy_ev_per_cell=-8.5 sg=Immm volume_a3_per_cell=92 crystal_system=orthorhombic pbc="T T T"
Ca 0.000 0.000 0.000
Si 0.000 0.000 4.582
Hg 2.130 0.000 2.467
Hg 0.000 2.368 2.116

=====

8.
3
Lattice="4.398 0.000 0.000 -2.199 3.808 0.000 0.000 0.000 4.343" Properties=species:S:1:pos:R:3 comment="CaSiHg | the Alexandria database | PBE | optimized geometry" e_form_raw_ev_per_fu=-0.936 energy_ev_per_cell=-8.7 sg=P3m1 volume_a3_per_cell=73 crystal_system=trigonal pbc="T T T"
Ca 0.000 0.000 0.000
Si 0.000 2.539 2.242
Hg 2.199 1.269 2.117